Entry 1:
Material: NdP
Method: DFT, GGA-PBE
State: relaxed

Calculated values
magnetic moment	0.0	μB per formula unit
raw total energy	-5.916	eV per atom

CIF file:
```
data_NdP
_space_group_name_H-M_alt 'P 1'
_space_group_IT_number 1
_cell_length_a 6.3758
_cell_length_b 5.5954
_cell_length_c 5.5427
_cell_angle_alpha 90.00
_cell_angle_beta 90.00
_cell_angle_gamma 90.00
loop_
_space_group_symop_operation_xyz
'x,y,z'
loop_
_atom_site_label
_atom_site_fract_x
_atom_site_fract_y
_atom_site_fract_z
Nd1 0.0000 0.0000 0.0000
Nd2 0.2500 0.5000 0.3573
Nd3 0.5000 0.0000 0.0000
Nd4 0.7500 0.5000 0.6427
P1 0.2500 0.0000 0.4798
P2 0.2500 0.5000 0.8610
P3 0.7500 0.0000 0.5202
P4 0.7500 0.5000 0.1390
```


Entry 2:
Material: LuZnInS3
Method: DFT, GGA-PBE
State: relaxed

Calculated values
magnetic moment	0.0	μB per formula unit
raw total energy	-4.574	eV per atom

CIF file:
```
data_LuZnInS3
_space_group_name_H-M_alt 'P 1'
_space_group_IT_number 1
_cell_length_a 11.3888
_cell_length_b 3.9592
_cell_length_c 11.8528
_cell_angle_alpha 90.00
_cell_angle_beta 90.00
_cell_angle_gamma 90.00
loop_
_space_group_symop_operation_xyz
'x,y,z'
loop_
_atom_site_label
_atom_site_fract_x
_atom_site_fract_y
_atom_site_fract_z
Lu1 0.0280 0.2500 0.1642
Lu2 0.4720 0.7500 0.6642
Lu3 0.5280 0.2500 0.3358
Lu4 0.9720 0.7500 0.8358
Zn1 0.2459 0.7500 0.3061
Zn2 0.2541 0.2500 0.8061
Zn3 0.7459 0.7500 0.1939
Zn4 0.7541 0.2500 0.6939
In1 0.1565 0.2500 0.5176
In2 0.3435 0.7500 0.0176
In3 0.6565 0.2500 0.9824
In4 0.8435 0.7500 0.4824
S1 0.0403 0.7500 0.3196
S2 0.1003 0.2500 0.9374
S3 0.2332 0.7500 0.6935
S4 0.2668 0.2500 0.1935
S5 0.3997 0.7500 0.4374
S6 0.4597 0.2500 0.8196
S7 0.5403 0.7500 0.1804
S8 0.6003 0.2500 0.5626
S9 0.7332 0.7500 0.8065
S10 0.7668 0.2500 0.3065
S11 0.8997 0.7500 0.0626
S12 0.9597 0.2500 0.6804
```


Entry 3:
Material: NaTlMoOs
Method: DFT, GGA-PBE
State: relaxed

Calculated values
magnetic moment	0.0	μB per formula unit
raw total energy	-5.647	eV per atom

CIF file:
```
data_NaTlMoOs
_space_group_name_H-M_alt 'P 1'
_space_group_IT_number 1
_cell_length_a 6.5366
_cell_length_b 6.5366
_cell_length_c 6.5366
_cell_angle_alpha 90.00
_cell_angle_beta 90.00
_cell_angle_gamma 90.00
loop_
_space_group_symop_operation_xyz
'x,y,z'
loop_
_atom_site_label
_atom_site_fract_x
_atom_site_fract_y
_atom_site_fract_z
Na1 0.0000 0.0000 0.0000
Na2 0.0000 0.5000 0.5000
Na3 0.5000 0.0000 0.5000
Na4 0.5000 0.5000 0.0000
Tl1 0.2500 0.2500 0.2500
Tl2 0.2500 0.7500 0.7500
Tl3 0.7500 0.2500 0.7500
Tl4 0.7500 0.7500 0.2500
Mo1 0.0000 0.0000 0.5000
Mo2 0.0000 0.5000 0.0000
Mo3 0.5000 0.0000 0.0000
Mo4 0.5000 0.5000 0.5000
Os1 0.2500 0.2500 0.7500
Os2 0.2500 0.7500 0.2500
Os3 0.7500 0.2500 0.2500
Os4 0.7500 0.7500 0.7500
```


Entry 4:
Material: SrLiSmSe3
Method: DFT, GGA-PBE
State: relaxed

Calculated values
magnetic moment	0.0	μB per formula unit
raw total energy	-4.917	eV per atom

CIF file:
```
data_SrLiSmSe3
_space_group_name_H-M_alt 'P 1'
_space_group_IT_number 1
_cell_length_a 7.1370
_cell_length_b 7.1370
_cell_length_c 10.9306
_cell_angle_alpha 90.00
_cell_angle_beta 90.00
_cell_angle_gamma 145.69
loop_
_space_group_symop_operation_xyz
'x,y,z'
loop_
_atom_site_label
_atom_site_fract_x
_atom_site_fract_y
_atom_site_fract_z
Sr1 0.2489 0.7511 0.7500
Sr2 0.7511 0.2489 0.2500
Li1 0.4757 0.5243 0.2500
Li2 0.5243 0.4757 0.7500
Sm1 0.0000 0.0000 0.0000
Sm2 0.0000 0.0000 0.5000
Se1 0.0804 0.9196 0.2500
Se2 0.3611 0.6389 0.0700
Se3 0.3611 0.6389 0.4300
Se4 0.6389 0.3611 0.5700
Se5 0.6389 0.3611 0.9300
Se6 0.9196 0.0804 0.7500
```


Entry 5:
Material: Ba7Ag3
Method: DFT, GGA-PBE
State: relaxed

Calculated values
raw total energy	-2.360	eV per atom

CIF file:
```
data_Ba7Ag3
_space_group_name_H-M_alt 'P 1'
_space_group_IT_number 1
_cell_length_a 11.8561
_cell_length_b 11.8561
_cell_length_c 7.5897
_cell_angle_alpha 90.00
_cell_angle_beta 90.00
_cell_angle_gamma 120.00
loop_
_space_group_symop_operation_xyz
'x,y,z'
loop_
_atom_site_label
_atom_site_fract_x
_atom_site_fract_y
_atom_site_fract_z
Ba1 0.0838 0.5419 0.0000
Ba2 0.1221 0.2442 0.6963
Ba3 0.1221 0.8779 0.6963
Ba4 0.2442 0.1221 0.1963
Ba5 0.3333 0.6667 0.4884
Ba6 0.4581 0.5419 0.0000
Ba7 0.4581 0.9162 0.0000
Ba8 0.5419 0.0838 0.5000
Ba9 0.5419 0.4581 0.5000
Ba10 0.6667 0.3333 0.9884
Ba11 0.7558 0.8779 0.6963
Ba12 0.8779 0.1221 0.1963
Ba13 0.8779 0.7558 0.1963
Ba14 0.9162 0.4581 0.5000
Ag1 0.1897 0.3794 0.2720
Ag2 0.1897 0.8103 0.2720
Ag3 0.3794 0.1897 0.7720
Ag4 0.6206 0.8103 0.2720
Ag5 0.8103 0.1897 0.7720
Ag6 0.8103 0.6206 0.7720
```


Entry 6:
Material: UCoP2
Method: DFT, GGA-PBE
State: relaxed

Calculated values
magnetic moment	2.3	μB per formula unit
raw total energy	-8.093	eV per atom

CIF file:
```
data_UCoP2
_space_group_name_H-M_alt 'P 1'
_space_group_IT_number 1
_cell_length_a 3.6943
_cell_length_b 3.6943
_cell_length_c 9.2386
_cell_angle_alpha 90.00
_cell_angle_beta 90.00
_cell_angle_gamma 90.00
loop_
_space_group_symop_operation_xyz
'x,y,z'
loop_
_atom_site_label
_atom_site_fract_x
_atom_site_fract_y
_atom_site_fract_z
U1 0.2500 0.2500 0.2353
U2 0.7500 0.7500 0.7647
Co1 0.2500 0.7500 0.5000
Co2 0.7500 0.2500 0.5000
P1 0.2500 0.2500 0.6414
P2 0.2500 0.7500 0.0000
P3 0.7500 0.2500 0.0000
P4 0.7500 0.7500 0.3586
```


Entry 7:
Material: LuFePd2
Method: DFT, GGA-PBE
State: relaxed

Calculated values
magnetic moment	2.8	μB per formula unit
DFT formation energy	-0.348	eV per atom

CIF file:
```
data_LuFePd2
_space_group_name_H-M_alt 'P 1'
_space_group_IT_number 1
_cell_length_a 6.4331
_cell_length_b 6.4331
_cell_length_c 6.4331
_cell_angle_alpha 90.00
_cell_angle_beta 90.00
_cell_angle_gamma 90.00
loop_
_space_group_symop_operation_xyz
'x,y,z'
loop_
_atom_site_label
_atom_site_fract_x
_atom_site_fract_y
_atom_site_fract_z
Lu1 0.0000 0.0000 0.0000
Lu2 0.0000 0.5000 0.5000
Lu3 0.5000 0.0000 0.5000
Lu4 0.5000 0.5000 0.0000
Fe1 0.2500 0.2500 0.7500
Fe2 0.2500 0.7500 0.2500
Fe3 0.7500 0.2500 0.2500
Fe4 0.7500 0.7500 0.7500
Pd1 0.0000 0.0000 0.5000
Pd2 0.0000 0.5000 0.0000
Pd3 0.2500 0.2500 0.2500
Pd4 0.2500 0.7500 0.7500
Pd5 0.5000 0.0000 0.0000
Pd6 0.5000 0.5000 0.5000
Pd7 0.7500 0.2500 0.7500
Pd8 0.7500 0.7500 0.2500
```


Entry 8:
Material: TbPrAl
Method: DFT, GGA-PBE
State: relaxed

Calculated values
magnetic moment	0.0	μB per formula unit
raw total energy	-3.877	eV per atom

CIF file:
```
data_TbPrAl
_space_group_name_H-M_alt 'P 1'
_space_group_IT_number 1
_cell_length_a 7.2714
_cell_length_b 7.2714
_cell_length_c 7.2714
_cell_angle_alpha 90.00
_cell_angle_beta 90.00
_cell_angle_gamma 90.00
loop_
_space_group_symop_operation_xyz
'x,y,z'
loop_
_atom_site_label
_atom_site_fract_x
_atom_site_fract_y
_atom_site_fract_z
Tb1 0.0000 0.0000 0.0000
Tb2 0.0000 0.5000 0.5000
Tb3 0.5000 0.0000 0.5000
Tb4 0.5000 0.5000 0.0000
Pr1 0.2500 0.2500 0.7500
Pr2 0.2500 0.7500 0.2500
Pr3 0.7500 0.2500 0.2500
Pr4 0.7500 0.7500 0.7500
Al1 0.0000 0.0000 0.5000
Al2 0.0000 0.5000 0.0000
Al3 0.5000 0.0000 0.0000
Al4 0.5000 0.5000 0.5000
```


Entry 9:
Material: LiBiPt2O4
Method: DFT, GGA-PBE
State: relaxed

Calculated values
magnetic moment	0.0	μB per formula unit
raw total energy	-5.747	eV per atom

CIF file:
```
data_LiBiPt2O4
_space_group_name_H-M_alt 'P 1'
_space_group_IT_number 1
_cell_length_a 6.9263
_cell_length_b 6.9263
_cell_length_c 4.3375
_cell_angle_alpha 90.00
_cell_angle_beta 90.00
_cell_angle_gamma 90.00
loop_
_space_group_symop_operation_xyz
'x,y,z'
loop_
_atom_site_label
_atom_site_fract_x
_atom_site_fract_y
_atom_site_fract_z
Li1 0.2500 0.7500 0.0000
Li2 0.7500 0.2500 0.0000
Bi1 0.2500 0.2500 0.0511
Bi2 0.7500 0.7500 0.9489
Pt1 0.0000 0.0000 0.5000
Pt2 0.0000 0.5000 0.5000
Pt3 0.5000 0.0000 0.5000
Pt4 0.5000 0.5000 0.5000
O1 0.0237 0.7500 0.2553
O2 0.2500 0.5237 0.7447
O3 0.2500 0.9763 0.7447
O4 0.4763 0.7500 0.2553
O5 0.5237 0.2500 0.7447
O6 0.7500 0.0237 0.2553
O7 0.7500 0.4763 0.2553
O8 0.9763 0.2500 0.7447
```


Entry 10:
Material: CuB4Os
Method: DFT, GGA-PBE
State: relaxed

Calculated values
magnetic moment	0.0	μB per formula unit
raw total energy	-6.517	eV per atom

CIF file:
```
data_CuB4Os
_space_group_name_H-M_alt 'P 1'
_space_group_IT_number 1
_cell_length_a 2.9516
_cell_length_b 2.9516
_cell_length_c 7.0498
_cell_angle_alpha 90.00
_cell_angle_beta 90.00
_cell_angle_gamma 120.00
loop_
_space_group_symop_operation_xyz
'x,y,z'
loop_
_atom_site_label
_atom_site_fract_x
_atom_site_fract_y
_atom_site_fract_z
Cu1 0.0000 0.0000 0.0000
B1 0.3333 0.6667 0.2520
B2 0.3333 0.6667 0.7480
B3 0.6667 0.3333 0.2520
B4 0.6667 0.3333 0.7480
Os1 0.0000 0.0000 0.5000
```


Entry 11:
Material: LuCoBiOs
Method: DFT, GGA-PBE
State: relaxed

Calculated values
magnetic moment	2.7	μB per formula unit
raw total energy	-6.217	eV per atom

CIF file:
```
data_LuCoBiOs
_space_group_name_H-M_alt 'P 1'
_space_group_IT_number 1
_cell_length_a 6.6947
_cell_length_b 6.6947
_cell_length_c 6.6947
_cell_angle_alpha 90.00
_cell_angle_beta 90.00
_cell_angle_gamma 90.00
loop_
_space_group_symop_operation_xyz
'x,y,z'
loop_
_atom_site_label
_atom_site_fract_x
_atom_site_fract_y
_atom_site_fract_z
Lu1 0.0000 0.0000 0.0000
Lu2 0.0000 0.5000 0.5000
Lu3 0.5000 0.0000 0.5000
Lu4 0.5000 0.5000 0.0000
Co1 0.0000 0.0000 0.5000
Co2 0.0000 0.5000 0.0000
Co3 0.5000 0.0000 0.0000
Co4 0.5000 0.5000 0.5000
Bi1 0.2500 0.2500 0.2500
Bi2 0.2500 0.7500 0.7500
Bi3 0.7500 0.2500 0.7500
Bi4 0.7500 0.7500 0.2500
Os1 0.2500 0.2500 0.7500
Os2 0.2500 0.7500 0.2500
Os3 0.7500 0.2500 0.2500
Os4 0.7500 0.7500 0.7500
```


Entry 12:
Material: Gd2HoNi2B2P3
Method: DFT, GGA-PBE
State: relaxed

Calculated values
magnetic moment	0.0	μB per formula unit
raw total energy	-6.377	eV per atom

CIF file:
```
data_Gd2HoNi2B2P3
_space_group_name_H-M_alt 'P 1'
_space_group_IT_number 1
_cell_length_a 11.0178
_cell_length_b 11.0178
_cell_length_c 11.0178
_cell_angle_alpha 159.36
_cell_angle_beta 159.36
_cell_angle_gamma 29.35
loop_
_space_group_symop_operation_xyz
'x,y,z'
loop_
_atom_site_label
_atom_site_fract_x
_atom_site_fract_y
_atom_site_fract_z
Gd1 0.1374 0.1374 0.0000
Gd2 0.8626 0.8626 0.0000
Ho1 0.5000 0.5000 0.0000
Ni1 0.2500 0.7500 0.5000
Ni2 0.7500 0.2500 0.5000
B1 0.2812 0.2812 0.0000
B2 0.7188 0.7188 0.0000
P1 0.0000 0.0000 0.0000
P2 0.3723 0.3723 0.0000
P3 0.6277 0.6277 0.0000
```